1.
Entry from the Alexandria database: a geometry-optimized Na2Sn3Se6 structure (GGA-PBE).

a = 6.994 Å, b = 11.970 Å, c = 7.609 Å
α = 90.00°, β = 107.83°, γ = 90.00°
Space group C2/m (No. 12)
Asymmetric unit:
Na: 0.000 0.169 0.000 (multiplicity 4)
Sn: 0.000 0.000 0.500 (multiplicity 2)
Sn: 0.000 0.331 0.500 (multiplicity 4)
Se: 0.236 0.163 0.724 (multiplicity 8)
Se: 0.242 0.000 0.278 (multiplicity 4)

Properties
**Formation energy (no corrections)**: -0.5869 eV per atom
**Magnetic moment**: 0.00 μB/f.u.



2.
Entry from the Alexandria database: a geometry-optimized TcTeRu2 structure (GGA-PBE).

a = 3.049 Å, b = 4.516 Å, c = 4.616 Å
α = 90.00°, β = 90.00°, γ = 90.00°
Space group Pmmm (No. 47)
Asymmetric unit:
Tc: 0.000 0.000 0.000 (multiplicity 1)
Te: 0.500 0.000 0.500 (multiplicity 1)
Ru: 0.000 0.500 0.500 (multiplicity 1)
Ru: 0.500 0.500 0.000 (multiplicity 1)

Properties
**Formation energy (no corrections)**: 0.4757 eV per atom
**Magnetic moment**: 0.00 μB/f.u.